No. 1
This record from the Alexandria database describes crystalline EuTmAl4 at its relaxed geometry. The functional is GGA-PBE.

Calculated values
**ΔH_f (0 K)**: -425.8 meV/atom
**Final energy**: -5.38 eV per atom

a b c (Å): 5.6022 5.6022 5.6022
angles (deg): 60.00 60.00 60.00
With the nearest neighbours (Å) after each atom.
Fractional positions:
Al: 0.6251 0.6251 0.6251  6 Al 2.80
Tm: 0.0000 0.0000 0.0000  12 Al 3.28, 4 Eu 3.43
Al: 0.6251 0.6251 0.1246  6 Al 2.80
Al: 0.6251 0.1246 0.6251  6 Al 2.80
Eu: 0.2500 0.2500 0.2500  12 Al 3.28, 4 Tm 3.43
Al: 0.1246 0.6251 0.6251  6 Al 2.80

=====

No. 2
This record from the Alexandria database describes crystalline LiZn3B at its relaxed geometry. The functional is GGA-PBE.

Calculated values
**Polymorph energy (0 for the lowest one)**: 980 meV/atom
**ΔH_f (0 K)**: 1190.8 meV/atom
**Final energy**: -1.29 eV per atom

a b c (Å): 4.3838 4.3838 4.3838
angles (deg): 90.00 90.00 90.00
With the nearest neighbours (Å) after each atom.
Fractional positions:
Zn: 0.0000 0.0000 0.5000  2 Li 2.19
Zn: 0.0000 0.5000 0.0000  2 Li 2.19
Zn: 0.5000 0.0000 0.0000  2 Li 2.19
Li: 0.0000 0.0000 0.0000  6 Zn 2.19
B: 0.5000 0.5000 0.5000  12 Zn 3.10

=====

No. 3
This record from the Alexandria database describes crystalline Pu2Zn3Pd5 at its relaxed geometry. The functional is GGA-PBE.

Calculated values
**ΔH_f (0 K)**: -421.0 meV/atom
**Final energy**: -6.27 eV per atom

a b c (Å): 5.7610 8.5554 8.5554
angles (deg): 83.45 70.32 70.32
With the nearest neighbours (Å) after each atom.
Fractional positions:
Pd: 0.3959 0.2701 0.9381  3 Zn 2.47-2.66, 2 Pd 2.76
Pd: 0.6041 0.7299 0.0619  3 Zn 2.47-2.66, 2 Pd 2.76
Pu: 0.8700 0.3966 0.8635  4 Pd 2.90-3.13, 3 Zn 3.15-3.16
Pd: 0.2500 0.5000 0.5000  4 Zn 2.51
Pd: 0.8959 0.9381 0.2701  3 Zn 2.47-2.66, 2 Pd 2.76
Zn: 0.1355 0.2451 0.4838  5 Pd 2.47-2.52
Pu: 0.1300 0.6034 0.1365  4 Pd 2.90-3.13, 3 Zn 3.15-3.16
Pd: 0.9779 0.7721 0.7721  3 Zn 2.52-2.60, 2 Pd 2.76
Pu: 0.6300 0.1365 0.6034  4 Pd 2.90-3.13, 3 Zn 3.15-3.16
Zn: 0.8645 0.7549 0.5162  5 Pd 2.47-2.52
Zn: 0.3645 0.5162 0.7549  5 Pd 2.47-2.52
Pd: 0.4779 0.7721 0.7721  3 Zn 2.52-2.60, 2 Pd 2.76
Zn: 0.7500 0.0000 0.0000  6 Pd 2.60-2.66, 2 Zn 2.88
Zn: 0.6355 0.4838 0.2451  5 Pd 2.47-2.52
Zn: 0.2500 0.0000 0.0000  6 Pd 2.60-2.66, 2 Zn 2.88
Pd: 0.7500 0.5000 0.5000  4 Zn 2.51
Pu: 0.3700 0.8635 0.3966  4 Pd 2.90-3.13, 3 Zn 3.15-3.16
Pd: 0.5221 0.2279 0.2279  3 Zn 2.52-2.60, 2 Pd 2.76
Pd: 0.0221 0.2279 0.2279  3 Zn 2.52-2.60, 2 Pd 2.76
Pd: 0.1041 0.0619 0.7299  3 Zn 2.47-2.66, 2 Pd 2.76

=====

No. 4
This record from the Alexandria database describes crystalline K2ZnSe at its relaxed geometry. The functional is GGA-PBE.

Calculated values
**Polymorph energy (0 for the lowest one)**: 119 meV/atom
**Final energy**: -2.22 eV per atom
**Energy relative to the elements, uncorrected**: -0.486 eV/atom

a b c (Å): 5.3203 5.3203 4.4342
angles (deg): 89.93 89.93 90.13
With the nearest neighbours (Å) after each atom.
Fractional positions:
K: 0.0000 0.0000 0.0000  4 Se 3.46, 4 Zn 3.46, 4 K 3.76-3.77
Zn: 0.0000 0.5000 0.5000  8 K 3.46, 4 Se 3.76-3.77
K: 0.5000 0.5000 0.0000  4 Zn 3.46, 4 Se 3.46, 4 K 3.76-3.77
Se: 0.5000 0.0000 0.5000  8 K 3.46, 4 Zn 3.76-3.77

=====

No. 5
This record from the Alexandria database describes crystalline HgMo2Pb at its relaxed geometry. The functional is GGA-PBE.

Calculated values
**Polymorph energy (0 for the lowest one)**: 436 meV/atom
**ΔH_f (0 K)**: 832.5 meV/atom
**Final energy**: -5.59 eV per atom

a b c (Å): 9.5738 9.5738 9.5738
angles (deg): 18.51 18.51 18.51
With the nearest neighbours (Å) after each atom.
Fractional positions:
Mo: 0.4995 0.4995 0.4995  3 Hg 2.94, 3 Pb 2.96, 6 Mo 3.08
Hg: 0.7500 0.7500 0.7500  6 Mo 2.94, 6 Hg 3.08
Mo: 0.0005 0.0005 0.0005  3 Hg 2.94, 3 Pb 2.96, 6 Mo 3.08
Pb: 0.2500 0.2500 0.2500  6 Mo 2.96, 6 Pb 3.08

=====

No. 6
This record from the Alexandria database describes crystalline Sr3Li at its relaxed geometry. The functional is GGA-PBE.

Calculated values
**Polymorph energy (0 for the lowest one)**: 41 meV/atom
**ΔH_f (0 K)**: 80.6 meV/atom
**Final energy**: -1.66 eV per atom

a b c (Å): 7.9160 7.9160 6.4366
angles (deg): 90.00 90.00 72.01
With the nearest neighbours (Å) after each atom.
Fractional positions:
Sr: 0.1712 0.8288 0.2500  3 Li 3.85-3.94, 4 Sr 3.98-4.01
Sr: 0.0983 0.3536 0.2500  2 Li 3.94-4.03, 8 Sr 3.98-4.35
Li: 0.5844 0.4156 0.2500  2 Li 3.58, 5 Sr 3.85-3.94
Li: 0.4156 0.5844 0.7500  2 Li 3.58, 5 Sr 3.85-3.94
Sr: 0.8288 0.1712 0.7500  3 Li 3.85-3.94, 4 Sr 3.98-4.01
Sr: 0.9017 0.6464 0.7500  2 Li 3.94-4.03, 8 Sr 3.98-4.35
Sr: 0.3536 0.0983 0.7500  2 Li 3.94-4.03, 8 Sr 3.98-4.35
Sr: 0.6464 0.9017 0.2500  2 Li 3.94-4.03, 8 Sr 3.98-4.35

=====

No. 7
This record from the Alexandria database describes crystalline Nd2Ga3CoIr4 at its relaxed geometry. The functional is GGA-PBE.

Calculated values
**ΔH_f (0 K)**: -569.1 meV/atom
**Final energy**: -6.69 eV per atom

a b c (Å): 4.2369 4.2369 10.2993
angles (deg): 90.00 90.00 90.00
With the nearest neighbours (Å) after each atom.
Fractional positions:
Ga: 0.0000 0.5000 0.1297  5 Ir 2.48-2.50
Ir: 0.5000 0.0000 0.6293  3 Ga 2.48-2.50, 2 Co 2.50
Co: 0.5000 0.5000 0.5000  4 Ir 2.50
Ir: 0.0000 0.0000 0.0000  4 Ga 2.50
Ir: 0.0000 0.5000 0.3707  3 Ga 2.48-2.50, 2 Co 2.50
Ga: 0.0000 0.0000 0.5000  4 Ir 2.50
Ga: 0.5000 0.0000 0.8703  5 Ir 2.48-2.50
Nd: 0.0000 0.5000 0.7522  6 Ga 3.23-3.35, 8 Ir 3.25-3.32, 2 Co 3.35
Nd: 0.5000 0.0000 0.2478  6 Ga 3.23-3.35, 8 Ir 3.25-3.32, 2 Co 3.35
Ir: 0.5000 0.5000 0.0000  4 Ga 2.50

=====

No. 8
This record from the Alexandria database describes crystalline PmSm5Tm12 at its relaxed geometry. The functional is GGA-PBE.

Calculated values
**ΔH_f (0 K)**: 22.8 meV/atom
**Final energy**: -4.53 eV per atom

a b c (Å): 10.5813 10.5933 6.1217
angles (deg): 73.40 90.00 60.04
With the nearest neighbours (Å) after each atom.
Fractional positions:
Tm: 0.3348 0.6664 0.0004  4 Sm 3.51-3.54, 7 Tm 3.51-3.56, 1 Pm 3.54
Tm: 0.5011 0.3334 0.4998  5 Sm 3.51-3.54, 7 Tm 3.52-3.55
Tm: 0.3323 0.9999 0.0001  1 Pm 3.52, 7 Tm 3.52-3.55, 4 Sm 3.54
Sm: 0.6667 0.6667 0.0001  10 Tm 3.51-3.54, 2 Sm 3.54
Tm: 0.8346 0.6667 0.5000  5 Sm 3.51-3.54, 7 Tm 3.52-3.55
Pm: 0.0000 0.0000 0.0000  10 Tm 3.52-3.54, 2 Sm 3.55
Sm: 0.3333 0.3333 0.9999  10 Tm 3.51-3.54, 2 Sm 3.54
Tm: 0.9988 0.6664 0.0002  4 Sm 3.51-3.54, 7 Tm 3.51-3.56, 1 Pm 3.54
Tm: 0.6652 0.3336 0.9996  4 Sm 3.51-3.54, 7 Tm 3.51-3.56, 1 Pm 3.54
Tm: 0.8319 0.0001 0.4999  3 Sm 3.51-3.54, 7 Tm 3.52-3.56, 2 Pm 3.54
Sm: 0.5000 0.0000 0.5000  10 Tm 3.51-3.54, 2 Sm 3.54
Tm: 0.1655 0.3333 0.5000  5 Sm 3.51-3.54, 7 Tm 3.52-3.55
Tm: 0.6677 0.0001 0.9999  1 Pm 3.52, 7 Tm 3.52-3.55, 4 Sm 3.54
Sm: 0.1668 0.6664 0.5004  10 Tm 3.51-3.54, 1 Sm 3.54, 1 Pm 3.55
Tm: 0.0012 0.3336 0.9998  4 Sm 3.51-3.54, 7 Tm 3.51-3.56, 1 Pm 3.54
Tm: 0.1681 0.9999 0.5001  3 Sm 3.51-3.54, 7 Tm 3.52-3.56, 2 Pm 3.54
Sm: 0.8332 0.3336 0.4996  10 Tm 3.51-3.54, 1 Sm 3.54, 1 Pm 3.55
Tm: 0.4989 0.6666 0.5002  5 Sm 3.51-3.54, 7 Tm 3.52-3.55

=====

No. 9
This record from the Alexandria database describes crystalline YBe2Br at its relaxed geometry. The functional is GGA-PBE.

Calculated values
**Polymorph energy (0 for the lowest one)**: 958 meV/atom
**Final energy**: -3.12 eV per atom
**Energy relative to the elements, uncorrected**: 0.773 eV/atom

a b c (Å): 4.7720 4.7720 4.7720
angles (deg): 60.00 60.00 60.00
With the nearest neighbours (Å) after each atom.
Fractional positions:
Br: 0.0000 0.0000 0.0000  8 Be 2.92
Be: 0.7500 0.7500 0.7500  4 Y 2.92, 4 Br 2.92
Be: 0.2500 0.2500 0.2500  4 Br 2.92, 4 Y 2.92
Y: 0.5000 0.5000 0.5000  8 Be 2.92

=====

No. 10
This record from the Alexandria database describes crystalline Cr2ReP at its relaxed geometry. The functional is GGA-PBE.

Calculated values
**ΔH_f (0 K)**: -60.2 meV/atom
**Final energy**: -9.34 eV per atom

a b c (Å): 2.7608 2.7608 6.4647
angles (deg): 90.00 90.00 90.00
With the nearest neighbours (Å) after each atom.
Fractional positions:
Cr: 0.0000 0.0000 0.0328  4 P 2.40, 4 Re 2.67
P: 0.5000 0.5000 0.2500  8 Cr 2.40
Cr: 0.0000 0.0000 0.4672  4 P 2.40, 4 Re 2.67
Re: 0.5000 0.5000 0.7500  8 Cr 2.67, 4 Re 2.76